[1]
SbW (GGA-PBE, relaxed); crystal system = monoclinic; space group = Cm (8)
1.0
4.992 0.000 0.000
0.000 3.457 0.000
-0.068 0.000 10.164
Sb W
4 4
Cartesian
0.000 0.000 0.000
0.000 1.729 6.518
2.496 1.729 0.000
2.496 0.000 6.518
1.680 0.000 2.282
1.680 1.729 4.235
4.176 1.729 2.282
4.176 0.000 4.235



[2]
Sb3W (GGA-PBE, relaxed); crystal system = orthorhombic; space group = Cmmm (65)
1.0
3.793 0.000 0.000
0.000 4.801 0.000
0.000 0.000 11.113
Sb W
6 2
Cartesian
0.000 0.000 0.000
0.000 2.400 3.425
0.000 2.400 7.687
1.896 0.000 3.425
1.896 0.000 7.687
1.896 2.400 0.000
0.000 0.000 5.556
1.896 2.400 5.556



It is found that the density values, taken in the order of the records, are 11.6; 9.0 g/cm³.
It is found that the volume values, taken in the order of the records, are 21.93; 25.29 Å³/atom.
It is found that the relative energy among the computed polymorphs values, taken in the order of the records, are 114; 246 meV/atom.